No. 1
{"formula": "Sr3LiBi3", "functional": "PBE", "state": "relaxed", "lattice": [[6.358, -2.440, 0.000], [6.358, 2.440, 0.000], [-3.659, 0.000, 15.601]], "species": ["Sr", "Sr", "Sr", "Sr", "Sr", "Sr", "Li", "Li", "Bi", "Bi", "Bi", "Bi", "Bi", "Bi"], "frac_coords": [[0.044, 0.044, 0.396], [0.077, 0.077, 0.914], [0.244, 0.244, 0.224], [0.756, 0.756, 0.776], [0.923, 0.923, 0.086], [0.956, 0.956, 0.604], [0.262, 0.262, 0.591], [0.738, 0.738, 0.409], [0.351, 0.351, 0.433], [0.351, 0.351, 0.921], [0.468, 0.468, 0.761], [0.532, 0.532, 0.239], [0.649, 0.649, 0.079], [0.649, 0.649, 0.567]], "e_tot_ev_per_atom": -3.43, "vol_a3_per_fu": 242.0, "e_form_mev_per_atom": -767.6}

---

No. 2
{"formula": "Nd4DyY4", "functional": "PBE", "state": "relaxed", "lattice": [[-5.429, 5.429, 2.557], [5.429, -5.429, 2.557], [5.429, 5.429, -2.557]], "species": ["Nd", "Nd", "Nd", "Nd", "Dy", "Y", "Y", "Y", "Y"], "frac_coords": [[0.000, 0.332, 0.332], [0.000, 0.668, 0.668], [0.332, 0.000, 0.332], [0.668, 0.000, 0.668], [0.000, 0.000, 0.000], [0.334, 0.334, 0.669], [0.334, 0.666, 0.000], [0.666, 0.334, 0.000], [0.666, 0.666, 0.331]], "e_tot_ev_per_atom": -5.48, "vol_a3_per_fu": 301.4, "e_form_mev_per_atom": 18.8, "relative_energy_mev_per_atom": 3}